DFT (PBE) results for a geometry-optimized LiPm2Ga4Cu3 structure.

Lattice parameters (Å, degrees): 4.2326 4.2326 10.1468 90.00 90.00 90.00
Last column: nearest neighbours and their distance in Å.
Positions (direct):
Li (0.5000, 0.5000, 0.5000)  4 Ga 2.51
Pm (0.5000, 0.0000, 0.2489)  8 Ga 3.22-3.30, 6 Cu 3.23-3.31, 2 Li 3.31
Pm (0.0000, 0.5000, 0.7511)  8 Ga 3.22-3.30, 6 Cu 3.23-3.31, 2 Li 3.31
Ga (0.5000, 0.5000, 0.0000)  4 Cu 2.49
Ga (0.0000, 0.0000, 0.0000)  4 Cu 2.49
Ga (0.5000, 0.0000, 0.6328)  3 Cu 2.41-2.51, 2 Li 2.51
Ga (0.0000, 0.5000, 0.3672)  3 Cu 2.41-2.51, 2 Li 2.51
Cu (0.0000, 0.0000, 0.5000)  4 Ga 2.51
Cu (0.5000, 0.0000, 0.8699)  5 Ga 2.41-2.49
Cu (0.0000, 0.5000, 0.1301)  5 Ga 2.41-2.49

- symmetry = P-4m2, No. 115
- formation energy (eV per atom) = -0.421

DFT (PBE) results for a geometry-optimized RhAu3F structure.

Lattice parameters (Å, degrees): 5.0312 5.0312 5.0312 90.00 90.00 90.00
Last column: nearest neighbours and their distance in Å.
Positions (direct):
Rh (0.0000, 0.0000, 0.0000)  6 Au 2.52
Au (0.0000, 0.5000, 0.0000)  2 Rh 2.52
Au (0.0000, 0.0000, 0.5000)  2 Rh 2.52
Au (0.5000, 0.0000, 0.0000)  2 Rh 2.52
F (0.5000, 0.5000, 0.5000)  12 Au 3.56

- symmetry = Pm-3m, No. 221
- E above lowest polymorph (meV per atom) = 219.2
- formation energy without anion corrections (eV/f.u.) = 4.441

DFT (PBE) results for a geometry-optimized BaRuBr3 structure.

Lattice parameters (Å, degrees): 5.1716 5.1716 5.1716 90.00 90.00 90.00
Last column: nearest neighbours and their distance in Å.
Positions (direct):
Ru (0.0000, 0.0000, 0.0000)  6 Br 2.59
Ba (0.5000, 0.5000, 0.5000)  12 Br 3.66
Br (0.0000, 0.5000, 0.0000)  2 Ru 2.59
Br (0.0000, 0.0000, 0.5000)  2 Ru 2.59
Br (0.5000, 0.0000, 0.0000)  2 Ru 2.59

- symmetry = Pm-3m, No. 221
- E above lowest polymorph (meV per atom) = 0.0
- formation energy without anion corrections (eV/f.u.) = -4.000